[1]
CsTl2CuPt | GGA-PBE | optimized geometry

Properties
ΔH_f (0 K) in kJ/mol of atoms: 5
Raw total energy in eV per cell: -15.46
Magnetization in Bohr magnetons per cell: 0.00

```
CsTl2CuPt
1.0
5.383 0.000 0.000
0.000 5.383 0.000
0.000 0.000 5.262
Cs Tl Cu Pt
1 2 1 1
Direct
0.000 0.000 0.000
0.000 0.500 0.500
0.500 0.000 0.500
0.500 0.500 0.000
0.500 0.500 0.500
```

[2]
CrCd2N | GGA-PBE | optimized geometry

Properties
Uncorrected formation energy in eV per atom: 0.333
Raw total energy in eV per cell: -36.89
Magnetization in Bohr magnetons per cell: 6.08

```
CrCd2N
1.0
-4.550 4.550 1.845
4.550 -4.550 1.845
4.550 4.550 -1.845
Cr Cd N
2 4 2
Direct
0.000 0.000 0.000
0.750 0.250 0.500
0.248 0.625 0.123
0.375 0.498 0.623
0.502 0.125 0.877
0.875 0.752 0.377
0.250 0.750 0.500
0.500 0.500 0.000
```

[3]
KCaCd2Ir | GGA-PBE | optimized geometry

Properties
ΔH_f (0 K) in kJ/mol of atoms: -9
Raw total energy in eV per cell: -14.28
Magnetization in Bohr magnetons per cell: 0.00

```
KCaCd2Ir
1.0
5.396 0.000 0.000
0.000 5.396 0.000
0.000 0.000 5.300
K Ca Cd Ir
1 1 2 1
Direct
0.000 0.000 0.000
0.500 0.500 0.000
0.000 0.500 0.500
0.500 0.000 0.500
0.500 0.500 0.500
```

[4]
Ca3MgP | GGA-PBE | optimized geometry

Properties
ΔH_f (0 K) in kJ/mol of atoms: -43
Excess energy over the best structure of this formula in the dataset in kJ per mole of atoms: 12.05
Raw total energy in eV per cell: -30.44
Magnetization in Bohr magnetons per cell: 0.00

```
Ca3MgP
1.0
3.637 2.100 6.900
-3.637 2.100 6.900
0.000 -4.200 6.900
Ca Mg P
6 2 2
Direct
0.124 0.364 0.724
0.276 0.876 0.636
0.364 0.724 0.124
0.636 0.276 0.876
0.724 0.124 0.364
0.876 0.636 0.276
0.182 0.182 0.182
0.818 0.818 0.818
0.313 0.313 0.313
0.687 0.687 0.687
```

[5]
KBiF6 | GGA-PBE | optimized geometry

Properties
Uncorrected formation energy in eV per atom: -2.209
Raw total energy in eV per cell: -67.76
Magnetization in Bohr magnetons per cell: 0.00

```
KBiF6
1.0
5.472 0.000 0.000
0.000 5.472 0.000
0.000 0.000 10.095
K Bi F
2 2 12
Direct
0.000 0.000 0.250
0.000 0.000 0.750
0.500 0.500 0.000
0.500 0.500 0.500
0.235 0.235 0.000
0.235 0.765 0.500
0.311 0.311 0.358
0.311 0.311 0.642
0.311 0.689 0.142
0.311 0.689 0.858
0.689 0.311 0.142
0.689 0.311 0.858
0.689 0.689 0.358
0.689 0.689 0.642
0.765 0.235 0.500
0.765 0.765 0.000
```

[6]
CaCo3Pd | GGA-PBE | optimized geometry

Properties
ΔH_f (0 K) in kJ/mol of atoms: 175
Excess energy over the best structure of this formula in the dataset in kJ per mole of atoms: 96.45
Raw total energy in eV per cell: -19.44
Magnetization in Bohr magnetons per cell: 4.45

```
CaCo3Pd
1.0
4.408 0.000 0.000
0.000 4.408 0.000
0.000 0.000 4.408
Ca Co Pd
1 3 1
Direct
0.000 0.000 0.000
0.000 0.000 0.500
0.000 0.500 0.000
0.500 0.000 0.000
0.500 0.500 0.500
```

[7]
Sm3MgTi4O14 | GGA-PBE | optimized geometry

Properties
Uncorrected formation energy in eV per atom: -3.071
Raw total energy in eV per cell: -184.31
Magnetization in Bohr magnetons per cell: 0.95

```
Sm3MgTi4O14
1.0
3.649 2.107 5.799
-3.649 2.107 5.799
0.000 -4.214 5.799
Sm Mg Ti O
3 1 4 14
Direct
0.000 0.500 0.500
0.500 0.000 0.500
0.500 0.500 0.000
0.500 0.500 0.500
0.000 0.000 0.000
0.000 0.000 0.500
0.000 0.500 0.000
0.500 0.000 0.000
0.070 0.678 0.678
0.080 0.080 0.672
0.080 0.672 0.080
0.322 0.322 0.930
0.322 0.930 0.322
0.328 0.920 0.920
0.386 0.386 0.386
0.614 0.614 0.614
0.672 0.080 0.080
0.678 0.070 0.678
0.678 0.678 0.070
0.920 0.328 0.920
0.920 0.920 0.328
0.930 0.322 0.322
```

[8]
AcGdDy2 | GGA-PBE | optimized geometry

Properties
ΔH_f (0 K) in kJ/mol of atoms: 6
Excess energy over the best structure of this formula in the dataset in kJ per mole of atoms: 1.13
Raw total energy in eV per cell: -27.16
Magnetization in Bohr magnetons per cell: 7.27

```
AcGdDy2
1.0
3.719 0.000 0.000
0.000 3.719 0.000
0.000 0.000 10.082
Ac Gd Dy
1 1 2
Direct
0.000 0.000 0.000
0.000 0.000 0.500
0.500 0.500 0.263
0.500 0.500 0.737
```